Record 1
4
Lattice="-0.447 1.078 -3.192 1.446 -3.230 -1.293 -3.444 -1.528 -0.033" Properties=species:S:1:pos:R:3 comment="CuNi2W SCAN PBEsol geometry" final_energy_ev_per_atom=-28.99 relative_energy_kcal_per_mol_atoms=6.339 e_form_ev_per_fu=1.29 crystal_system=tetragonal m_tot_mub_per_atom=0.72 pbc="T T T"
W -1.223 -1.840 -2.259
Ni -1.722 -0.764 -0.017
Ni 0.723 -1.615 -0.646
Cu -0.224 0.539 -1.596

***

Record 2
14
Lattice="5.712 0.000 0.000 2.856 4.947 0.000 2.856 1.649 4.664" Properties=species:S:1:pos:R:3 comment="MnFe4CuO8 SCAN PBEsol geometry" final_energy_ev_per_atom=-12.63 crystal_system=cubic m_tot_mub_per_atom=0.72 raw_formation_energy_ev_per_atom=-1.501 pbc="T T T"
O 2.856 1.649 2.750
O 2.856 3.142 0.638
O 5.712 3.298 0.783
O 5.712 1.837 2.848
O 1.563 0.902 0.638
O 4.149 0.902 0.638
O 6.977 4.028 2.848
O 4.448 4.028 2.848
Fe 5.712 4.951 1.748
Fe 4.281 2.472 1.748
Fe 7.144 2.472 1.748
Fe 5.712 3.298 4.085
Cu 8.569 4.947 3.498
Mn 0.000 0.000 0.000